Below is HgGe2S2 after structural relaxation, with properties calculated at the PBE-GGA level.

Output
Raw formation energy, eV per atom: 0.076

a b c (Å): 8.3678 8.3678 3.3249
angles (deg): 90.00 90.00 90.00
With the nearest neighbours (Å) after each atom.
Space group P4/mbm (No. 127)
Unique sites:
Hg 0.0000 0.0000 0.0000 (multiplicity 2)  2 Hg 3.32, 4 Ge 3.34, 8 S 3.67
Ge 0.1185 0.3815 0.0000 (multiplicity 4)  4 S 2.67, 1 Ge 2.80
S 0.1308 0.6308 0.5000 (multiplicity 4)  4 Ge 2.67